[1]
VASP calculation (PBE) on a geometry-optimized HfTa3H8 structure.

Total magnetic moment, Bohr magnetons per cell: 0.00
Raw total energy, eV per cell: -74.86
Space group: I4/mmm
Mass density, g/cm3: 12.72

Unit cell a=4.5708 b=4.5708 c=5.5876 alpha=114.14 beta=114.14 gamma=90.00
Closest atoms and distances in Å follow each position.
Positions (direct):
Hf  0.0000  0.0000  0.0000  8 H 2.02
Ta  0.7500  0.2500  0.5000  8 H 1.96
Ta  0.5000  0.5000  0.0000  8 H 1.97
Ta  0.2500  0.7500  0.5000  8 H 1.96
H  0.3826  0.8734  0.2560  3 Ta 1.96-1.97, 1 Hf 2.02
H  0.8734  0.8734  0.2560  3 Ta 1.96-1.97, 1 Hf 2.02
H  0.1266  0.1266  0.7440  3 Ta 1.96-1.97, 1 Hf 2.02
H  0.6174  0.6174  0.7440  3 Ta 1.96-1.97, 1 Hf 2.02
H  0.3826  0.3826  0.2560  3 Ta 1.96-1.97, 1 Hf 2.02
H  0.8734  0.3826  0.2560  3 Ta 1.96-1.97, 1 Hf 2.02
H  0.6174  0.1266  0.7440  3 Ta 1.96-1.97, 1 Hf 2.02
H  0.1266  0.6174  0.7440  3 Ta 1.96-1.97, 1 Hf 2.02



[2]
VASP calculation (PBE) on a geometry-optimized YIn3Cu structure.

Total magnetic moment, Bohr magnetons per cell: 0.00
Relative energy among the computed polymorphs, eV/f.u.: 4.89
Space group: Pm-3m
Mass density, g/cm3: 4.03
Energy of formation from the pure elements, eV per atom: 0.9940

Unit cell a=5.8930 b=5.8930 c=5.8930 alpha=90.00 beta=90.00 gamma=90.00
Closest atoms and distances in Å follow each position.
Positions (direct):
In  0.0000  0.5000  0.0000  2 Y 2.95
In  0.5000  0.0000  0.0000  2 Y 2.95
In  0.0000  0.0000  0.5000  2 Y 2.95
Y  0.0000  0.0000  0.0000  6 In 2.95
Cu  0.5000  0.5000  0.5000  12 In 4.17



[3]
VASP calculation (PBE) on a geometry-optimized Co2ReGe structure.

Total magnetic moment, Bohr magnetons per cell: 0.81
Space group: P4/mmm
Mass density, g/cm3: 12.61
Energy of formation from the pure elements, eV per atom: 0.0141

Unit cell a=2.6943 b=2.6943 c=6.8348 alpha=90.00 beta=90.00 gamma=90.00
Closest atoms and distances in Å follow each position.
Positions (direct):
Ge  0.5000  0.5000  0.0000  8 Co 2.51, 4 Ge 2.69
Co  0.0000  0.0000  0.2389  4 Ge 2.51, 4 Re 2.61, 4 Co 2.69
Co  0.0000  0.0000  0.7611  4 Ge 2.51, 4 Re 2.61, 4 Co 2.69
Re  0.5000  0.5000  0.5000  8 Co 2.61, 4 Re 2.69



[4]
VASP calculation (PBE) on a geometry-optimized RuSe structure.

Total magnetic moment, Bohr magnetons per cell: 0.00
E_form (uncorrected), eV per atom: 0.010
Space group: Pmmn
Mass density, g/cm3: 8.28

Unit cell a=3.0906 b=3.7621 c=6.2088 alpha=90.00 beta=90.00 gamma=90.00
Closest atoms and distances in Å follow each position.
Positions (direct):
Ru  0.5000  0.5000  0.7518  5 Se 2.42-2.59
Ru  0.0000  0.0000  0.9982  5 Se 2.42-2.59
Se  0.0000  0.0000  0.6084  5 Ru 2.42-2.59
Se  0.5000  0.5000  0.1416  5 Ru 2.42-2.59



[5]
VASP calculation (PBE) on a geometry-optimized Na2MgCuBr5 structure.

Total magnetic moment, Bohr magnetons per cell: 0.00
E_form (uncorrected), eV per atom: -1.210
Space group: Cmc2_1
Mass density, g/cm3: 3.67

Unit cell a=4.0172 b=9.0216 c=13.6489 alpha=90.00 beta=90.00 gamma=102.86
Closest atoms and distances in Å follow each position.
Positions (direct):
Br  0.9366  0.8733  0.5320  2 Cu 2.46, 1 Mg 2.71
Br  0.2759  0.5518  0.6644  2 Mg 2.73
Br  0.6326  0.2653  0.5084  1 Mg 2.66
Br  0.7241  0.4482  0.1644  2 Mg 2.73
Br  0.7095  0.4190  0.8930  1 Cu 2.66, 2 Mg 2.74
Br  0.0634  0.1267  0.0320  2 Cu 2.46, 1 Mg 2.71
Br  0.2905  0.5810  0.3930  1 Cu 2.66, 2 Mg 2.74
Br  0.4991  0.9982  0.7727  1 Cu 2.39
Br  0.5009  0.0018  0.2727  1 Cu 2.39
Br  0.3674  0.7347  0.0084  1 Mg 2.66
Cu  0.5609  0.1218  0.9285  4 Br 2.39-2.66
Cu  0.4391  0.8782  0.4285  4 Br 2.39-2.66
Na  0.9083  0.8166  0.1603  6 Br 2.98-3.24
Na  0.1207  0.2414  0.3351  5 Br 3.03-3.11
Na  0.0917  0.1834  0.6603  6 Br 2.98-3.24
Na  0.8793  0.7586  0.8351  5 Br 3.03-3.11
Mg  0.2173  0.4346  0.0296  6 Br 2.66-2.74
Mg  0.7827  0.5654  0.5296  6 Br 2.66-2.74